! Cs2SrTiBr6 GGA-PBE optimized geometry; values from VASP
&SYSTEM
  ibrav = 0, nat = 10, ntyp = 4
/
ATOMIC_SPECIES
Br 79.90 Br.upf
Ti 47.87 Ti.upf
Sr 87.62 Sr.upf
Cs 132.91 Cs.upf
ATOMIC_POSITIONS crystal
Br 0.7361 0.2639 0.0000
Ti 0.5000 0.5000 0.0000
Br 0.7361 0.7361 0.5279
Sr 0.0000 0.0000 0.0000
Cs 0.2500 0.7500 0.5000
Br 0.2639 0.2639 0.4721
Br 0.2639 0.2639 0.0000
Br 0.2639 0.7361 0.0000
Br 0.7361 0.7361 0.0000
Cs 0.7500 0.2500 0.5000
CELL_PARAMETERS angstrom
-1.8518 7.0041 -3.5419
-3.4295 -3.9954 -6.1079
-7.6326 1.5777 -2.0700
! Fermi-level density of states (states/eV/f.u.): 8.538
! Uncorrected formation energy (meV/atom): -1647
! Space group: Fm-3m (225)
! Magnetic moment (μB per formula unit): 2.00